[1]
KPaTa: optimized geometry, PBE.

POSCAR file:
```
KPaTa
1.0
0.000 3.532 3.532
3.532 0.000 3.532
3.532 3.532 0.000
K Pa Ta
1 1 1
Direct
0.000 0.000 0.000
0.250 0.250 0.250
0.500 0.500 0.500
```

Values from the calculation:
**E above lowest polymorph**: 0 meV/atom
**Electronic total energy**: -15.8 eV/cell

[2]
K2ZnGe2O6: optimized geometry, PBE.

POSCAR file:
```
K2ZnGe2O6
1.0
3.114 -4.886 0.000
3.114 4.886 0.000
0.000 0.000 10.953
K Zn Ge O
4 2 4 12
Direct
0.051 0.702 0.572
0.298 0.949 0.928
0.702 0.051 0.428
0.949 0.298 0.072
0.190 0.810 0.250
0.810 0.190 0.750
0.324 0.361 0.364
0.361 0.324 0.636
0.639 0.676 0.136
0.676 0.639 0.864
0.031 0.195 0.615
0.098 0.478 0.334
0.195 0.031 0.385
0.436 0.564 0.750
0.478 0.098 0.666
0.492 0.492 0.000
0.508 0.508 0.500
0.522 0.902 0.166
0.564 0.436 0.250
0.805 0.969 0.885
0.902 0.522 0.834
0.969 0.805 0.115
```

Values from the calculation:
**Electronic total energy**: -122.9 eV/cell

Repeat the second record exactly.
K2ZnGe2O6: optimized geometry, PBE.

POSCAR file:
```
K2ZnGe2O6
1.0
3.114 -4.886 0.000
3.114 4.886 0.000
0.000 0.000 10.953
K Zn Ge O
4 2 4 12
Direct
0.051 0.702 0.572
0.298 0.949 0.928
0.702 0.051 0.428
0.949 0.298 0.072
0.190 0.810 0.250
0.810 0.190 0.750
0.324 0.361 0.364
0.361 0.324 0.636
0.639 0.676 0.136
0.676 0.639 0.864
0.031 0.195 0.615
0.098 0.478 0.334
0.195 0.031 0.385
0.436 0.564 0.750
0.478 0.098 0.666
0.492 0.492 0.000
0.508 0.508 0.500
0.522 0.902 0.166
0.564 0.436 0.250
0.805 0.969 0.885
0.902 0.522 0.834
0.969 0.805 0.115
```

Values from the calculation:
**Electronic total energy**: -122.9 eV/cell